(1)
A plane-wave DFT calculation with GGA-PBEsol was carried out for crystalline CaNi5H at its relaxed geometry.

## Properties
* total DFT energy (no corrections): -5.30 eV/atom

Cell and atoms, written as CIF:
```
data_CaNi5H
_cell_length_a 4.785
_cell_length_b 8.741
_cell_length_c 3.896
_cell_angle_alpha 90.00
_cell_angle_beta 90.00
_cell_angle_gamma 90.00
_space_group_name_H-M_alt 'C m m 2'
_space_group_IT_number 35
loop_
_space_group_symop_operation_xyz
'x,y,z'
'-x,-y,z'
'-x,y,z'
'x,-y,z'
'x+1/2,y+1/2,z'
'-x+1/2,-y+1/2,z'
'-x+1/2,y+1/2,z'
'x+1/2,-y+1/2,z'
loop_
_atom_site_label
_atom_site_fract_x
_atom_site_fract_y
_atom_site_fract_z
Ca1 0.000 0.000 0.000
Ni1 0.000 0.319 0.004
Ni2 0.000 0.500 0.496
Ni3 0.250 0.250 0.502
H1 0.000 0.500 0.925
```

---

(2)
A plane-wave DFT calculation with GGA-PBEsol was carried out for crystalline Zn2P2H12O11 at its relaxed geometry.

## Properties
* total DFT energy (no corrections): -5.44 eV/atom

Cell and atoms, written as CIF:
```
data_Zn2P2H12O11
_cell_length_a 7.415
_cell_length_b 7.430
_cell_length_c 9.355
_cell_angle_alpha 90.13
_cell_angle_beta 90.45
_cell_angle_gamma 94.14
_space_group_name_H-M_alt 'P -1'
_space_group_IT_number 2
loop_
_space_group_symop_operation_xyz
'x,y,z'
'-x,-y,-z'
loop_
_atom_site_label
_atom_site_fract_x
_atom_site_fract_y
_atom_site_fract_z
Zn1 0.000 0.000 0.000
Zn2 0.005 0.495 0.753
Zn3 0.500 0.500 0.500
P1 0.135 0.725 0.485
P2 0.231 0.398 0.989
H1 0.021 0.126 0.272
H2 0.033 0.912 0.260
H3 0.231 0.896 0.478
H4 0.245 0.262 0.611
H5 0.246 0.769 0.954
H6 0.350 0.953 0.903
H7 0.381 0.390 0.249
H8 0.390 0.949 0.147
H9 0.404 0.330 0.981
H10 0.406 0.612 0.762
H11 0.432 0.185 0.670
H12 0.472 0.101 0.257
O1 0.014 0.275 0.635
O2 0.054 0.714 0.636
O3 0.071 0.029 0.212
O4 0.084 0.256 0.944
O5 0.218 0.467 0.144
O6 0.229 0.555 0.878
O7 0.255 0.574 0.451
O8 0.268 0.899 0.981
O9 0.380 0.273 0.604
O10 0.489 0.341 0.298
O11 0.494 0.982 0.214
```

---

(3)
A plane-wave DFT calculation with GGA-PBEsol was carried out for crystalline CaCdSe2 at its relaxed geometry.

## Properties
* formation energy from raw total energies: -1.230 eV/atom

Cell and atoms, written as CIF:
```
data_CaCdSe2
_cell_length_a 4.1007
_cell_length_b 4.1007
_cell_length_c 19.6519
_cell_angle_alpha 90.00
_cell_angle_beta 90.00
_cell_angle_gamma 120.00
_space_group_name_H-M_alt 'R -3 m'
_space_group_IT_number 166
_space_group_name_Hall '-R 3 2"'
loop_
_atom_site_label
_atom_site_fract_x
_atom_site_fract_y
_atom_site_fract_z
Ca1 0.0000 0.0000 0.0000
Cd1 0.0000 0.0000 0.5000
Se1 0.0000 0.0000 0.2458
```

---

(4)
A plane-wave DFT calculation with GGA-PBEsol was carried out for crystalline Ca2LaP at its relaxed geometry.

## Properties
* ΔH_f (0 K): -0.54 eV per atom

Cell and atoms, written as CIF:
```
data_Ca2LaP
_cell_length_a 5.813
_cell_length_b 12.165
_cell_length_c 3.962
_cell_angle_alpha 90.00
_cell_angle_beta 90.00
_cell_angle_gamma 90.00
_space_group_name_H-M_alt 'C m m m'
_space_group_IT_number 65
_space_group_name_Hall '-C 2 2'
loop_
_atom_site_label
_atom_site_fract_x
_atom_site_fract_y
_atom_site_fract_z
Ca1 0.000 0.160 0.000
La1 0.000 0.500 0.500
P1 0.000 0.000 0.500
```

---

(5)
A plane-wave DFT calculation with GGA-PBEsol was carried out for crystalline Y2ZnRe at its relaxed geometry.

## Properties
* ΔH_f (0 K): 0.45 eV per atom

Cell and atoms, written as CIF:
```
data_Y2ZnRe
_cell_length_a 3.3140
_cell_length_b 3.3140
_cell_length_c 27.8119
_cell_angle_alpha 90.00
_cell_angle_beta 90.00
_cell_angle_gamma 120.00
_space_group_name_H-M_alt 'R 3 m'
_space_group_IT_number 160
_space_group_name_Hall 'R 3 -2"'
loop_
_atom_site_label
_atom_site_fract_x
_atom_site_fract_y
_atom_site_fract_z
Y1 0.0000 0.0000 0.0000
Y2 0.0000 0.0000 0.2174
Zn1 0.0000 0.0000 0.4690
Re1 0.0000 0.0000 0.7399
```

---

(6)
A plane-wave DFT calculation with GGA-PBEsol was carried out for crystalline FeAg4Cl at its relaxed geometry.

## Properties
* formation energy from raw total energies: 0.545 eV/atom

Cell and atoms, written as CIF:
```
data_FeAg4Cl
_cell_length_a 7.616
_cell_length_b 7.616
_cell_length_c 7.616
_cell_angle_alpha 90.00
_cell_angle_beta 90.00
_cell_angle_gamma 90.00
_space_group_name_H-M_alt 'F -4 3 m'
_space_group_IT_number 216
_space_group_name_Hall 'F -4 2 3'
loop_
_atom_site_label
_atom_site_fract_x
_atom_site_fract_y
_atom_site_fract_z
Fe1 0.000 0.000 0.000
Ag1 0.125 0.125 0.625
Cl1 0.250 0.250 0.250
```

---

(7)
A plane-wave DFT calculation with GGA-PBEsol was carried out for crystalline Cr2NiSe at its relaxed geometry.

## Properties
* formation energy from raw total energies: 0.256 eV/atom

Cell and atoms, written as CIF:
```
data_Cr2NiSe
_cell_length_a 8.315
_cell_length_b 2.957
_cell_length_c 4.055
_cell_angle_alpha 90.00
_cell_angle_beta 98.55
_cell_angle_gamma 90.00
_space_group_name_H-M_alt 'C 1 2/m 1'
_space_group_IT_number 12
loop_
_space_group_symop_operation_xyz
'x,y,z'
'-x,-y,-z'
'-x,y,-z'
'x,-y,z'
'x+1/2,y+1/2,z'
'-x+1/2,-y+1/2,-z'
'-x+1/2,y+1/2,-z'
'x+1/2,-y+1/2,z'
loop_
_atom_site_label
_atom_site_fract_x
_atom_site_fract_y
_atom_site_fract_z
Cr1 0.239 0.000 0.209
Ni1 0.000 0.500 0.000
Se1 0.000 0.000 0.500
```

---

(8)
A plane-wave DFT calculation with GGA-PBEsol was carried out for crystalline Si2AsAu at its relaxed geometry.

## Properties
* formation energy from raw total energies: 0.062 eV/atom

Cell and atoms, written as CIF:
```
data_Si2AsAu
_cell_length_a 3.5494
_cell_length_b 3.5494
_cell_length_c 18.8458
_cell_angle_alpha 90.00
_cell_angle_beta 90.00
_cell_angle_gamma 120.00
_space_group_name_H-M_alt 'R -3 m'
_space_group_IT_number 166
_space_group_name_Hall '-R 3 2"'
loop_
_atom_site_label
_atom_site_fract_x
_atom_site_fract_y
_atom_site_fract_z
Si1 0.0000 0.0000 0.2502
As1 0.0000 0.0000 0.0000
Au1 0.0000 0.0000 0.5000
```

---

- What is the formula in the fourth record?
  Ca2LaP